A plane-wave DFT calculation with PBE+U was carried out for a relaxed structure of TbNpFeO6.

Cell lengths 5.598, 5.598, 8.761 Å; angles 90.00, 90.00, 120.00 degrees
Sites, in units of the cell vectors:
Tb 0.333 0.667 0.250
Tb 0.667 0.333 0.750
Np 0.333 0.667 0.750
Np 0.667 0.333 0.250
Fe 0.000 0.000 0.000
Fe 0.000 0.000 0.500
O 0.030 0.339 0.625
O 0.030 0.691 0.875
O 0.309 0.339 0.875
O 0.309 0.970 0.625
O 0.339 0.030 0.125
O 0.339 0.309 0.375
O 0.661 0.691 0.625
O 0.661 0.970 0.875
O 0.691 0.030 0.375
O 0.691 0.661 0.125
O 0.970 0.309 0.125
O 0.970 0.661 0.375

Results
Its final energy is -75.1 eV per formula unit. As for the symmetry: P-31c. As for the spin magnetization: 6.0 μB per formula unit.